The following is a PBE with a Hubbard U calculation of a geometry-optimized Ni2AsRhO6 structure, from Alexandria via LeMat-Bulk.

Cell: 5.587 5.587 4.032 Å, 90.00 90.00 90.00°
Atoms (fractional coordinates):
Ni1 0.000 0.500 0.000
Ni2 0.500 0.000 0.000
As1 0.000 0.000 0.757
Rh1 0.500 0.500 0.787
O1 0.000 0.000 0.340
O2 0.235 0.235 0.875
O3 0.235 0.765 0.875
O4 0.500 0.500 0.301
O5 0.765 0.235 0.875
O6 0.765 0.765 0.875

density of states at the Fermi level = 2.28 states/eV/f.u.
magnetic moment = 5.22 μB/f.u.
uncorrected energy = -5.251 eV/atom